DFT (PBE) results for TbReC after structural relaxation.

Lattice parameters (Å, degrees): 5.870 6.526 5.870 71.80 72.21 108.20
Positions (direct):
Tb 0.870 0.250 0.380
Tb 0.870 0.250 0.880
Tb 0.870 0.750 0.380
Tb 0.370 0.750 0.380
C 0.079 0.000 0.588
C 0.662 0.500 0.171
C 0.412 0.000 0.921
C 0.329 0.500 0.838
Re 0.372 0.253 0.628
Re 0.622 0.753 0.878
Re 0.369 0.247 0.131
Re 0.119 0.747 0.881

Calculated values
As for the formation energy: 0.158 eV/atom. The magnetization comes out at 0.00 μB per cell. The calculation puts the energy relative to the lowest polymorph listed for this composition at 56 meV/atom.